1.
AlCoNiIr2 GGA-PBEsol relaxed; SG = P4/mmm (123); size of the total moment = 1.82 μB/cell; electronic total energy = -6.38 eV per atom; calculated volume = 79 Å³/cell; formation energy from the elements = 1.1416 eV per atom; DOS at the Fermi energy = 1.59 states/eV/atom
1.0
-0.617 -1.219 3.956
4.118 1.037 0.961
-1.260 4.034 1.047
Ni Ir Al Co
1 2 1 1
Direct
0.500 0.500 0.500
0.000 0.000 0.500
0.000 0.500 0.000
0.500 0.000 0.000
0.000 0.000 0.000



2.
CdHgS2Cl GGA-PBEsol relaxed; SG = P4/mmm (123); E_form (uncorrected) = 7.85 kcal/mol of atoms; size of the total moment = 0.00 μB/cell; electronic total energy = -2.17 eV per atom; calculated volume = 122 Å³/cell; DOS at the Fermi energy = 0.82 states/eV/atom
1.0
4.932 0.000 0.000
0.000 4.967 0.000
0.000 0.000 4.967
Cl S Hg Cd
1 2 1 1
Direct
0.500 0.000 0.000
0.000 0.000 0.500
0.000 0.500 0.000
0.500 0.500 0.500
0.000 0.000 0.000



3.
BaLiTe GGA-PBEsol relaxed; SG = P-6m2 (187); E_form (uncorrected) = -26.13 kcal/mol of atoms; size of the total moment = 0.90 μB/cell; electronic total energy = -3.68 eV per atom; calculated volume = 91 Å³/cell; DOS at the Fermi energy = 0.20 states/eV/atom
1.0
-4.466 1.153 -0.709
2.075 -3.119 -2.784
-1.387 -3.555 2.950
Li Ba Te
1 1 1
Direct
0.333 0.667 0.500
0.000 0.000 0.000
0.667 0.333 0.500



4.
KSrSb2Te GGA-PBEsol relaxed; distance to the lowest polymorph of the same formula = 0 meV per atom; SG = P4/mmm (123); E_form (uncorrected) = 1.70 kcal/mol of atoms; size of the total moment = 0.00 μB/cell; electronic total energy = -3.05 eV per atom; calculated volume = 218 Å³/cell; DOS at the Fermi energy = 0.94 states/eV/atom
1.0
-1.700 -2.536 5.167
0.634 -5.438 -2.460
5.779 -0.152 1.826
Sb Sr Te K
2 1 1 1
Direct
0.000 0.500 0.000
0.500 0.000 0.000
0.000 0.000 0.000
0.000 0.000 0.500
0.500 0.500 0.500



5.
Sc2BBr GGA-PBEsol relaxed; SG = I-42d (122); E_form (uncorrected) = -6.99 kcal/mol of atoms; size of the total moment = 0.00 μB/cell; electronic total energy = -5.83 eV per atom; calculated volume = 183 Å³/cell; DOS at the Fermi energy = 0.14 states/eV/atom
1.0
5.795 0.000 0.000
0.000 5.795 0.000
-2.897 -2.897 5.448
Sc B Br
4 2 2
Direct
0.797 0.375 0.250
0.125 0.203 0.750
0.625 0.547 0.750
0.453 0.875 0.250
0.750 0.250 0.500
0.500 0.500 0.000
0.000 0.000 0.000
0.250 0.750 0.500



6.
Tl2AgHg GGA-PBEsol relaxed; distance to the lowest polymorph of the same formula = 0 meV per atom; SG = Pm (6); size of the total moment = 0.00 μB/cell; electronic total energy = -2.22 eV per atom; calculated volume = 95 Å³/cell; formation energy from the elements = 0.0668 eV per atom; DOS at the Fermi energy = 0.39 states/eV/atom
1.0
3.556 0.000 0.003
0.000 4.730 0.000
-1.672 0.000 5.656
Ag Tl Hg
1 2 1
Direct
0.296 0.000 0.472
0.723 0.500 0.312
0.034 0.000 0.948
0.446 0.500 0.768